Density functional theory data (GGA-PBE) for a geometry-optimized Eu2ErPb structure.

Summary:
DOS(E_F), states/eV/f.u.: 3.4
ΔH_f (0 K), eV/atom: -0.277
Energy above the lowest structure with this stoichiometry, eV/atom: 0.000
Space group: P4/mmm

Cell lengths 5.194, 4.922, 4.922 Å; angles 90.00, 90.00, 90.00 degrees
Site moments in Bohr magnetons follow the coordinates.
Sites, in units of the cell vectors:
Eu1 0.000 0.500 0.000  6.93
Eu2 0.000 0.000 0.500  6.93
Er1 0.500 0.000 0.000  0.27
Pb1 0.500 0.500 0.500  -0.06